Entry 1:
Density functional theory data (GGA-PBEsol) for a relaxed NdScO3 crystal.

```
20
Lattice="5.5464 0.0000 0.0000 0.0000 5.7763 0.0000 0.0000 0.0000 7.9733" Properties=species:S:1:pos:R:3 pbc="T T T"
Nd 5.4566 0.3340 5.9800
Nd 2.6834 2.5542 1.9933
Nd 2.8630 3.2221 5.9800
Nd 0.0898 5.4424 1.9933
Sc 0.0000 2.8882 3.9866
Sc 2.7732 0.0000 3.9866
Sc 2.7732 0.0000 0.0000
Sc 0.0000 2.8882 0.0000
O 3.8736 1.7353 4.4517
O 1.1004 1.1529 3.5216
O 4.4460 4.6235 7.5082
O 1.6728 4.0410 0.4651
O 1.6728 4.0410 3.5216
O 4.4460 4.6235 4.4517
O 1.1004 1.1529 0.4651
O 3.8736 1.7353 7.5082
O 4.9341 3.1266 1.9933
O 2.1609 5.5379 5.9800
O 3.3855 0.2384 1.9933
O 0.6123 2.6497 5.9800
```

Output
Space-group type: No. 62
VASP energy: -9.036 eV per atom
E_form (uncorrected): -3532 meV per atom

Entry 2:
Density functional theory data (GGA-PBEsol) for a relaxed ScCoOs2 crystal.

```
4
Lattice="-1.2193 0.6631 2.3840 -0.4426 -1.9411 1.9096 7.1924 1.2476 4.9277" Properties=species:S:1:pos:R:3 pbc="T T T"
Co 1.3228 -0.0205 2.2783
Os -1.5907 -1.2626 4.3258
Os 4.2490 -0.0010 6.9616
Sc 2.6529 -0.0395 4.5599
```

Output
Space-group type: No. 160
VASP energy: -9.437 eV per atom
Energy relative to the elements: 0.26 eV per atom
Distance to the lowest polymorph of the same formula: 256 meV/atom

Entry 3:
Density functional theory data (GGA-PBEsol) for a relaxed CeMg3 crystal.

```
8
Lattice="-3.2043 -1.9950 -3.5403 4.7552 0.6766 -4.6851 -0.4126 -5.6678 3.5674" Properties=species:S:1:pos:R:3 pbc="T T T"
Mg 1.2941 -4.7374 -4.1752
Mg -0.9094 -2.2047 -3.6080
Mg 1.5035 -1.8614 -5.9854
Mg -0.3652 -5.1249 1.3273
Mg 2.0477 -4.7816 -1.0500
Mg -0.1558 -2.2489 -0.4829
Ce -1.0932 -5.0493 -1.8387
Ce 2.2315 -1.9370 -2.8194
```

Output
Space-group type: No. 194
VASP energy: -2.861 eV per atom
Energy relative to the elements: 0.08 eV per atom

Entry 4:
Density functional theory data (GGA-PBEsol) for a relaxed BiTe2SN crystal.

```
5
Lattice="-1.6388 0.2779 -3.7610 -0.8912 -5.7573 -0.0371 -5.2685 0.8003 2.3548" Properties=species:S:1:pos:R:3 pbc="T T T"
S -3.8992 -2.3396 -0.7217
Te -2.6342 0.4002 1.1774
Te -0.4456 -2.8787 -0.0186
Bi 0.0000 0.0000 0.0000
N -0.8194 0.1390 -1.8805
```

Output
Space-group type: No. 123
VASP energy: -3.456 eV per atom
E_form (uncorrected): 1393 meV per atom

Entry 5:
Density functional theory data (GGA-PBEsol) for a relaxed NbCuRe2Hg crystal.

```
5
Lattice="-2.7913 -3.4663 -0.3920 3.2349 -2.7600 1.3703 -1.3143 0.5762 4.2635" Properties=species:S:1:pos:R:3 pbc="T T T"
Re 1.6175 -1.3800 0.6851
Re -1.3957 -1.7331 -0.1960
Nb -0.6572 0.2881 2.1318
Hg -0.4354 -2.8250 2.6209
Cu 0.0000 0.0000 0.0000
```

Output
Space-group type: No. 123
VASP energy: -6.849 eV per atom
Energy relative to the elements: 1.63 eV per atom

Entry 6:
Density functional theory data (GGA-PBEsol) for a relaxed MnCrAu2N crystal.

```
5
Lattice="4.1150 0.0000 0.0000 0.0000 4.8725 0.0000 0.0000 0.0000 4.8725" Properties=species:S:1:pos:R:3 pbc="T T T"
Cr 0.0000 0.0000 0.0000
Mn 2.0575 0.0000 0.0000
Au 0.0000 0.0000 2.4362
Au 0.0000 2.4362 0.0000
N 2.0575 2.4362 2.4362
```

Output
Space-group type: No. 123
VASP energy: -5.181 eV per atom
E_form (uncorrected): 2095 meV per atom

> Number 3 is which compound?

CeMg3